1.
The following is a DFT calculation (GGA-PBE) of a geometry-optimized Cs3AcCe2Te6 structure.

Calculated values
Density of states at the Fermi level ... 11.6 states/eV per cell
Spin magnetization ... 2.00 μB per formula unit
Volume ... 532.5 Å³/cell
Final energy ... -0.33154 Ry per atom
Formation energy from raw total energies ... -1.3953 eV per atom

Unit cell a=8.300 b=8.300 c=9.345 alpha=98.52 beta=98.52 gamma=120.00
Last column: magnetic moment on the atom in μB.
Atoms (fractional coordinates):
Cs 0.165 0.835 0.500  0.00
Cs 0.835 0.165 0.500  0.00
Cs 0.500 0.500 0.500  0.00
Ac 0.000 0.000 0.000  0.00
Ce 0.333 0.667 0.000  0.99
Ce 0.667 0.333 0.000  0.99
Te 0.934 0.591 0.803  -0.01
Te 0.722 0.722 0.196  -0.01
Te 0.066 0.409 0.197  -0.01
Te 0.591 0.934 0.803  -0.01
Te 0.278 0.278 0.804  -0.01
Te 0.409 0.066 0.197  -0.01

2.
The following is a DFT calculation (GGA-PBE) of a geometry-optimized Y2MgAlH structure.

Calculated values
Density of states at the Fermi level ... 3.5 states/eV per cell
Polymorph energy (0 for the lowest one) ... 0.065 eV per atom
Spin magnetization ... 0.00 μB per formula unit
Volume ... 100.4 Å³/cell
Final energy ... -0.33480 Ry per atom

Unit cell a=4.963 b=4.963 c=4.075 alpha=90.00 beta=90.00 gamma=90.00
Atoms (fractional coordinates):
Y 0.000 0.500 0.000
Y 0.500 0.000 0.000
H 0.000 0.000 0.000
Mg 0.500 0.500 0.500
Al 0.000 0.000 0.500

3.
The following is a DFT calculation (GGA-PBE) of a geometry-optimized Tb8Bi2Ru structure.

Calculated values
Density of states at the Fermi level ... 10.7 states/eV per cell
Spin magnetization ... 0.00 μB per formula unit
Volume ... 325.7 Å³/cell
ΔE_f ... -0.36 eV per atom
Final energy ... -0.38771 Ry per atom

Unit cell a=4.706 b=7.249 c=9.922 alpha=97.73 beta=103.72 gamma=90.00
Atoms (fractional coordinates):
Tb 0.406 0.487 0.812
Tb 0.637 0.038 0.275
Tb 0.785 0.654 0.570
Tb 0.998 0.225 0.996
Tb 0.215 0.346 0.430
Tb 0.363 0.962 0.725
Tb 0.594 0.513 0.188
Tb 0.002 0.775 0.004
Bi 0.817 0.218 0.634
Bi 0.183 0.782 0.366
Ru 0.500 0.000 0.000

The highest final energy belongs to which entry?
Cs3AcCe2Te6

Number 2 is which compound?
Y2MgAlH

Please write out number 1 again, unchanged.
The following is a DFT calculation (GGA-PBE) of a geometry-optimized Cs3AcCe2Te6 structure.

Calculated values
Density of states at the Fermi level ... 11.6 states/eV per cell
Spin magnetization ... 2.00 μB per formula unit
Volume ... 532.5 Å³/cell
Final energy ... -0.33154 Ry per atom
Formation energy from raw total energies ... -1.3953 eV per atom

Unit cell a=8.300 b=8.300 c=9.345 alpha=98.52 beta=98.52 gamma=120.00
Last column: magnetic moment on the atom in μB.
Atoms (fractional coordinates):
Cs 0.165 0.835 0.500  0.00
Cs 0.835 0.165 0.500  0.00
Cs 0.500 0.500 0.500  0.00
Ac 0.000 0.000 0.000  0.00
Ce 0.333 0.667 0.000  0.99
Ce 0.667 0.333 0.000  0.99
Te 0.934 0.591 0.803  -0.01
Te 0.722 0.722 0.196  -0.01
Te 0.066 0.409 0.197  -0.01
Te 0.591 0.934 0.803  -0.01
Te 0.278 0.278 0.804  -0.01
Te 0.409 0.066 0.197  -0.01